Record 1
12
Lattice="6.108 0.530 0.000 -2.233 5.709 0.000 -1.937 -3.120 4.909" Properties=species:S:1:pos:R:3 comment="AcPaZn2O8 (PBE, optimized geometry)" raw_formation_energy_ev_per_atom=-1.90 pbc="T T T"
Ac -1.117 2.855 2.455
Pa 0.000 0.000 0.000
Zn 3.054 0.265 2.455
Zn 1.937 3.120 0.000
O 1.477 -0.446 1.490
O 0.451 2.217 0.787
O -0.150 -1.733 4.122
O 3.116 -1.464 3.419
O 3.424 4.022 0.787
O 4.631 0.977 1.490
O 2.992 1.994 3.419
O 0.150 1.733 4.122

=====

Record 2
8
Lattice="-3.335 -3.994 -2.224 0.681 -3.156 4.647 -5.803 -1.128 3.530" Properties=species:S:1:pos:R:3 comment="Ti2IrOs (PBE, optimized geometry)" e_form_ev_per_atom=0.76 pbc="T T T"
Ir 0.000 0.000 0.000
Ir -5.233 -4.349 1.259
Os -1.327 -3.575 1.212
Os -3.225 -3.930 4.694
Ti -3.438 -3.158 0.082
Ti -1.455 -2.769 3.501
Ti -5.345 -3.539 3.574
Ti -6.677 -7.091 4.750

=====

Record 3
9
Lattice="4.293 0.000 0.000 0.000 4.293 0.000 0.000 0.000 9.894" Properties=species:S:1:pos:R:3 comment="AcCdSn2Rh5 (PBE, optimized geometry)" e_form_ev_per_atom=-0.11 pbc="T T T"
Ac 0.000 0.000 4.947
Cd 0.000 0.000 0.000
Sn 2.147 2.147 1.399
Sn 2.147 2.147 8.495
Rh 0.000 2.147 2.851
Rh 2.147 0.000 2.851
Rh 0.000 2.147 7.043
Rh 2.147 0.000 7.043
Rh 2.147 2.147 4.947

=====

Record 4
4
Lattice="4.202 0.000 0.000 0.000 2.621 0.002 0.000 0.643 4.964" Properties=species:S:1:pos:R:3 comment="Zn2CrTc (PBE, optimized geometry)" de_polymorph_ev_per_atom=0.0665 e_form_ev_per_atom=0.11 pbc="T T T"
Cr 0.000 1.727 2.543
Tc 2.101 2.305 3.651
Zn 0.000 0.201 0.008
Zn 2.101 0.663 1.246

=====

Record 5
10
Lattice="6.059 0.000 0.000 0.000 6.497 -3.749 0.000 -0.001 7.502" Properties=species:S:1:pos:R:3 comment="Th3TcPb (PBE, optimized geometry)" de_polymorph_ev_per_atom=0.0000 e_form_ev_per_atom=-0.20 pbc="T T T"
Th 1.515 5.329 -1.727
Th 4.544 1.168 5.479
Th 1.515 5.329 1.729
Th 4.544 1.167 2.023
Th 1.515 2.336 0.000
Th 4.544 4.161 3.752
Tc 0.000 0.000 0.000
Tc 3.029 0.000 0.000
Pb 1.515 2.166 3.750
Pb 4.544 4.331 0.002

=====

Record 6
12
Lattice="4.425 -0.023 1.475 0.032 6.828 0.011 -0.077 -0.011 7.608" Properties=species:S:1:pos:R:3 comment="Pu5MgRh6 (PBE, optimized geometry)" e_form_ev_per_atom=-0.42 pbc="T T T"
Mg 0.000 0.000 0.000
Rh 3.752 5.191 3.576
Rh 3.735 1.591 3.571
Rh 2.221 1.683 0.740
Rh 2.237 5.122 0.745
Rh 0.645 5.203 5.523
Rh 0.628 1.603 5.517
Pu 2.969 3.391 5.897
Pu 1.471 -0.011 2.963
Pu 0.016 3.414 0.005
Pu 2.877 -0.023 6.120
Pu 1.411 3.403 3.196

=====

Record 7
4
Lattice="11.545 -0.010 -0.006 10.789 4.111 -0.006 10.789 1.981 3.602" Properties=species:S:1:pos:R:3 comment="Sr3Cl (PBE, optimized geometry)" raw_formation_energy_ev_per_atom=-0.83 de_polymorph_ev_per_atom=0.0000 pbc="T T T"
Cl 0.000 0.000 0.000
Sr 24.221 4.447 2.625
Sr 16.561 3.041 1.795
Sr 8.902 1.634 0.965

=====

Record 8
20
Lattice="-4.116 -0.398 3.085 1.722 -8.919 1.149 5.528 5.167 8.042" Properties=species:S:1:pos:R:3 comment="Y3ErCd6 (PBE, optimized geometry)" e_form_ev_per_atom=-0.31 pbc="T T T"
Y 2.055 -2.799 4.539
Y 1.078 -1.350 7.736
Y 3.941 0.867 7.528
Y -0.808 -5.017 4.747
Y 0.285 -6.883 1.650
Y 2.849 2.733 10.625
Er 3.936 -5.409 6.713
Er -0.803 1.260 5.563
Cd 0.262 -3.646 2.037
Cd 2.871 -0.503 10.238
Cd 0.277 -0.409 2.474
Cd 2.857 -3.741 9.802
Cd 4.010 -2.354 7.204
Cd -0.876 -1.796 5.071
Cd 2.109 0.323 5.013
Cd 1.025 -4.472 7.262
Cd 2.133 -6.145 4.211
Cd 1.001 1.995 8.064
Cd 4.004 4.067 8.024
Cd -0.870 -8.216 4.252

=====

Calculated density in order - 6.7; 8.9; 9.9; 8.5; 11.3; 13.4; 2.9; 7.3 Mg/m³